Below is a relaxed structure of BiCCl3, with properties calculated at the PBE level.

VASP energy ... -2.877 eV per atom

Cell: 4.603 4.603 4.603 Å, 90.00 90.00 90.00°
Fractional coordinates of all 5 atoms:
C 0.000 0.000 0.000
Cl 0.000 0.000 0.500
Cl 0.500 0.000 0.000
Cl 0.000 0.500 0.000
Bi 0.500 0.500 0.500


Below is a relaxed structure of Bi2CCl, with properties calculated at the PBE level.

VASP energy ... -3.590 eV per atom

Cell: 4.920 4.920 4.920 Å, 60.00 60.00 60.00°
Fractional coordinates of all 4 atoms:
Cl 0.500 0.500 0.500
C 0.000 0.000 0.000
Bi 0.250 0.250 0.250
Bi 0.750 0.750 0.750


Below is a relaxed structure of BiCCl2, with properties calculated at the PBE level.

VASP energy ... -3.021 eV per atom

Cell: 6.425 6.425 6.447 Å, 60.11 60.11 90.00°
Fractional coordinates of all 8 atoms:
Cl 0.375 0.625 0.750
Cl 0.375 0.125 0.250
Cl 0.875 0.625 0.750
Cl 0.375 0.625 0.250
Bi 0.750 0.250 0.500
Bi 0.000 0.000 0.000
C 0.500 0.500 0.000
C 0.250 0.750 0.500


Below is a relaxed structure of BiCCl2, with properties calculated at the PBE level.

VASP energy ... -3.025 eV per atom

Cell: 11.168 11.168 11.168 Å, 17.02 17.02 17.02°
Fractional coordinates of all 4 atoms:
Cl 0.873 0.873 0.873
Cl 0.127 0.127 0.127
Bi 0.000 0.000 0.000
C 0.500 0.500 0.500


Below is a relaxed structure of Bi3CCl, with properties calculated at the PBE level.

VASP energy ... -3.716 eV per atom

Cell: 5.076 5.076 5.076 Å, 90.00 90.00 90.00°
Fractional coordinates of all 5 atoms:
Cl 0.500 0.500 0.500
Bi 0.500 0.000 0.000
Bi 0.000 0.000 0.500
Bi 0.000 0.500 0.000
C 0.000 0.000 0.000


Below is a relaxed structure of BiCCl2, with properties calculated at the PBE level.

VASP energy ... -2.949 eV per atom

Cell: 9.146 9.146 9.146 Å, 21.65 21.65 21.65°
Fractional coordinates of all 4 atoms:
Cl 0.078 0.078 0.078
Cl 0.922 0.922 0.922
Bi 0.500 0.500 0.500
C 0.000 0.000 0.000


Below is a relaxed structure of Bi2CCl, with properties calculated at the PBE level.

VASP energy ... -4.028 eV per atom

Cell: 6.602 6.602 7.049 Å, 62.07 62.07 90.00°
Fractional coordinates of all 8 atoms:
C 0.500 0.500 0.000
C 0.250 0.750 0.500
Bi 0.875 0.789 0.750
Bi 0.211 0.625 0.250
Bi 0.539 0.125 0.250
Bi 0.375 0.461 0.750
Cl 0.000 0.000 0.000
Cl 0.750 0.250 0.500


Below is a relaxed structure of BiCCl3, with properties calculated at the PBE level.

VASP energy ... -2.880 eV per atom

Cell: 5.425 5.425 5.425 Å, 90.00 90.00 90.00°
Site moments in Bohr magnetons follow the coordinates.
Fractional coordinates of all 5 atoms:
Cl 0.000 0.500 0.000  0.00
Cl 0.500 0.000 0.000  0.00
Cl 0.000 0.000 0.500  0.01
Bi 0.000 0.000 0.000  0.00
C 0.500 0.500 0.500  0.98


Below is a relaxed structure of BiCCl2, with properties calculated at the PBE level.

VASP energy ... -2.895 eV per atom

Cell: 4.869 4.869 4.869 Å, 60.00 60.00 60.00°
Site moments in Bohr magnetons follow the coordinates.
Fractional coordinates of all 4 atoms:
Cl 0.250 0.250 0.250  0.09
Cl 0.750 0.750 0.750  0.09
C 0.000 0.000 0.000  0.94
Bi 0.500 0.500 0.500  0.16


Below is a relaxed structure of CoBiC2Cl, with properties calculated at the PBE level.

VASP energy ... -4.767 eV per atom

Cell: 3.899 4.941 3.899 Å, 90.00 90.00 90.00°
Fractional coordinates of all 5 atoms:
C 0.000 0.000 0.500
C 0.500 0.000 0.000
Cl 0.000 0.500 0.000
Bi 0.500 0.500 0.500
Co 0.000 0.000 0.000


Below is a relaxed structure of Cs2BiCCl6, with properties calculated at the PBE level.

VASP energy ... -3.283 eV per atom

Cell: 7.185 7.185 7.972 Å, 63.22 63.22 90.00°
Site moments in Bohr magnetons follow the coordinates.
Fractional coordinates of all 10 atoms:
C 0.500 0.500 0.000  0.49
Cl 0.220 0.220 0.560  0.01
Cl 0.269 0.269 0.000  0.01
Cl 0.780 0.780 0.440  0.01
Cl 0.269 0.731 0.000  0.01
Cl 0.731 0.269 0.000  0.01
Cl 0.731 0.731 0.000  0.01
Bi 0.000 0.000 0.000  0.00
Cs 0.750 0.250 0.500  0.00
Cs 0.250 0.750 0.500  0.00


Below is a relaxed structure of CuBiCCl2, with properties calculated at the PBE level.

VASP energy ... -3.019 eV per atom

Cell: 4.351 6.097 4.351 Å, 90.00 90.00 90.00°
Site moments in Bohr magnetons follow the coordinates.
Fractional coordinates of all 5 atoms:
Bi 0.000 0.500 0.000  -0.01
Cl 0.500 0.000 0.000  0.04
Cl 0.000 0.000 0.500  0.04
C 0.500 0.500 0.500  0.56
Cu 0.000 0.000 0.000  0.04


| no. | formation energy without anion corrections (eV/atom) |
| --- | --- |
| 1 | 0.8520 |
| 2 | 1.1176 |
| 3 | 1.1787 |
| 4 | 1.1750 |
| 5 | 0.8267 |
| 6 | 1.2510 |
| 7 | 0.6797 |
| 8 | 0.8492 |
| 9 | 1.3046 |
| 10 | 1.4888 |
| 11 | -0.6935 |
| 12 | 1.1596 |